No. 1
The following is a DFT calculation (PBE) of a relaxed structure of PmSm12Er2.

Cell and atoms, written as POSCAR:
```
PmSm12Er2
1.0
6.530 0.000 0.000
0.000 6.530 0.000
0.000 0.000 25.046
Pm Sm Er
2 24 4
direct
0.250 0.750 0.000 Pm
0.750 0.250 0.000 Pm
0.000 0.000 0.113 Sm
0.000 0.000 0.887 Sm
0.000 0.500 0.113 Sm
0.000 0.500 0.887 Sm
0.082 0.582 0.438 Sm
0.082 0.918 0.562 Sm
0.250 0.250 0.212 Sm
0.250 0.250 0.334 Sm
0.250 0.250 0.666 Sm
0.250 0.250 0.788 Sm
0.418 0.582 0.562 Sm
0.418 0.918 0.438 Sm
0.500 0.000 0.113 Sm
0.500 0.000 0.887 Sm
0.500 0.500 0.113 Sm
0.500 0.500 0.887 Sm
0.582 0.082 0.562 Sm
0.582 0.418 0.438 Sm
0.750 0.750 0.212 Sm
0.750 0.750 0.334 Sm
0.750 0.750 0.666 Sm
0.750 0.750 0.788 Sm
0.918 0.082 0.438 Sm
0.918 0.418 0.562 Sm
0.250 0.750 0.254 Er
0.250 0.750 0.746 Er
0.750 0.250 0.254 Er
0.750 0.250 0.746 Er
```

Output
VASP energy (eV per cell): -130.252
Size of the total moment (μB per formula unit): 0.00
Fermi-level density of states (states/eV/cell): 42.5

No. 2
The following is a DFT calculation (PBE) of a relaxed structure of CrCoCu.

Cell and atoms, written as POSCAR:
```
CrCoCu
1.0
0.000 1.951 6.178
1.436 0.000 6.178
1.436 1.951 0.000
Cr Co Cu
1 1 1
direct
0.000 0.000 0.000 Cr
0.659 0.659 0.341 Co
0.328 0.328 0.672 Cu
```

Output
Size of the total moment (μB per formula unit): 1.68
E above lowest polymorph (eV/atom): 0.047
Fermi-level density of states (states/eV/cell): 3.6

No. 3
The following is a DFT calculation (PBE) of a relaxed structure of RbBeAs2.

Cell and atoms, written as POSCAR:
```
RbBeAs2
1.0
-2.690 2.690 7.370
2.690 -2.690 7.370
2.690 2.690 -7.370
Rb Be As
2 2 4
direct
0.000 0.000 0.000 Rb
0.750 0.250 0.500 Rb
0.250 0.750 0.500 Be
0.500 0.500 0.000 Be
0.341 0.625 0.216 As
0.375 0.591 0.716 As
0.409 0.125 0.784 As
0.875 0.659 0.284 As
```

Output
VASP energy (eV per cell): -28.870
Size of the total moment (μB per formula unit): 0.00
Fermi-level density of states (states/eV/cell): 3.7

Question: Look up the size of the total moment of the first one.
Answer: 0.00 μB per formula unit